The following is a GGA+U calculation of a relaxed structure of CsMo2PbO8, from Alexandria.

Results
* uncorrected energy: -76.91 eV for the cell shown

```
CsMo2PbO8
1.0
-4.8479 -2.8170 1.8545
5.0459 -2.9786 -0.7369
2.2135 1.6850 8.3459
Mo Cs O Pb
2 1 8 1
Cartesian
-0.9450 -2.4103 3.2718 Mo
3.3565 -1.7002 6.1916 Mo
0.0000 0.0000 0.0000 Cs
0.3932 -1.1837 3.2473 O
4.8304 -2.3492 5.3537 O
2.8067 -0.1398 5.4443 O
-1.3859 -2.7459 1.6094 O
-0.3952 -3.9707 4.0191 O
2.0183 -2.9268 6.2161 O
-2.4189 -1.7613 4.1098 O
3.7974 -1.3646 7.8541 O
1.1067 0.8425 4.1729 Pb
```